Record 1
La2Cd2Ag3: optimized geometry, GGA-PBE.

a = 10.342 Å, b = 10.342 Å, c = 8.251 Å
α = 90.00°, β = 90.00°, γ = 155.99°
Fractional coordinates of all 14 atoms:
La  0.062  0.938  0.750
La  0.150  0.850  0.250
La  0.850  0.150  0.750
La  0.938  0.062  0.250
Cd  0.311  0.689  0.055
Cd  0.311  0.689  0.445
Cd  0.689  0.311  0.555
Cd  0.689  0.311  0.945
Ag  0.232  0.768  0.750
Ag  0.442  0.558  0.577
Ag  0.442  0.558  0.923
Ag  0.558  0.442  0.077
Ag  0.558  0.442  0.423
Ag  0.768  0.232  0.250

Results
calculated formation energy: -0.2644 eV per atom
symmetry: No. 63
M_tot: 0.00 μB per cell
E: -22.089 eV/f.u.

Record 2
La12Cd6Ag: optimized geometry, GGA-PBE.

a = 8.370 Å, b = 8.370 Å, c = 8.370 Å
α = 88.56°, β = 88.56°, γ = 88.56°
Fractional coordinates of all 19 atoms:
La  0.029  0.949  0.312
La  0.051  0.688  0.971
La  0.120  0.474  0.352
La  0.312  0.029  0.949
La  0.352  0.120  0.474
La  0.474  0.352  0.120
La  0.526  0.648  0.880
La  0.648  0.880  0.526
La  0.688  0.971  0.051
La  0.880  0.526  0.648
La  0.949  0.312  0.029
La  0.971  0.051  0.688
Cd  0.246  0.753  0.608
Cd  0.247  0.392  0.754
Cd  0.392  0.754  0.247
Cd  0.608  0.246  0.753
Cd  0.753  0.608  0.246
Cd  0.754  0.247  0.392
Ag  0.500  0.500  0.500

Results
calculated formation energy: -0.1456 eV per atom
symmetry: No. 148
M_tot: 0.00 μB per cell
E: -70.238 eV/f.u.

Record 3
La3Cd8Ag3: optimized geometry, GGA-PBE.

a = 8.952 Å, b = 8.952 Å, c = 8.952 Å
α = 147.61°, β = 113.70°, γ = 75.74°
Fractional coordinates of all 14 atoms:
La  0.000  0.000  0.000
La  0.292  0.292  0.000
La  0.708  0.708  0.000
Cd  0.010  0.653  0.357
Cd  0.156  0.865  0.291
Cd  0.297  0.653  0.643
Cd  0.426  0.135  0.291
Cd  0.574  0.865  0.709
Cd  0.703  0.347  0.357
Cd  0.844  0.135  0.709
Cd  0.990  0.347  0.643
Ag  0.337  0.500  0.837
Ag  0.500  0.000  0.500
Ag  0.663  0.500  0.163

Results
calculated formation energy: -0.2688 eV per atom
symmetry: No. 71
M_tot: 0.00 μB per cell
E: -34.420 eV/f.u.

Record 4
LaCd2Ag3: optimized geometry, GGA-PBE.

a = 7.054 Å, b = 7.054 Å, c = 5.676 Å
α = 90.00°, β = 90.00°, γ = 89.51°
Fractional coordinates of all 12 atoms:
La  0.221  0.779  0.750
La  0.779  0.221  0.250
Cd  0.250  0.250  0.000
Cd  0.250  0.250  0.500
Cd  0.750  0.750  0.000
Cd  0.750  0.750  0.500
Ag  0.061  0.590  0.250
Ag  0.410  0.939  0.250
Ag  0.452  0.548  0.250
Ag  0.548  0.452  0.750
Ag  0.590  0.061  0.750
Ag  0.939  0.410  0.750

Results
calculated formation energy: -0.1620 eV per atom
symmetry: No. 63
M_tot: 0.00 μB per cell
E: -16.284 eV/f.u.

Record 5
La3Cd2Ag9: optimized geometry, GGA-PBE.

a = 8.887 Å, b = 8.887 Å, c = 8.887 Å
α = 149.29°, β = 113.13°, γ = 75.37°
Fractional coordinates of all 14 atoms:
La  0.000  0.000  0.000
La  0.295  0.295  0.000
La  0.705  0.705  0.000
Cd  0.310  0.500  0.810
Cd  0.690  0.500  0.190
Ag  0.025  0.665  0.360
Ag  0.152  0.866  0.286
Ag  0.305  0.665  0.640
Ag  0.420  0.134  0.286
Ag  0.500  0.000  0.500
Ag  0.580  0.866  0.714
Ag  0.695  0.335  0.360
Ag  0.848  0.134  0.714
Ag  0.975  0.335  0.640

Results
calculated formation energy: -0.2308 eV per atom
symmetry: No. 71
M_tot: 0.00 μB per cell
E: -45.505 eV/f.u.

Record 6
LaCd7Ag5: optimized geometry, GGA-PBE.

a = 7.595 Å, b = 7.595 Å, c = 7.595 Å
α = 136.46°, β = 97.33°, γ = 98.49°
Fractional coordinates of all 13 atoms:
La  0.000  0.000  0.000
Cd  0.212  0.505  0.707
Cd  0.223  0.723  0.500
Cd  0.350  0.350  0.000
Cd  0.357  0.010  0.348
Cd  0.656  0.656  0.000
Cd  0.662  0.010  0.652
Cd  0.798  0.505  0.293
Ag  0.005  0.006  0.498
Ag  0.005  0.507  0.999
Ag  0.508  0.006  0.001
Ag  0.508  0.507  0.502
Ag  0.790  0.290  0.500

Results
calculated formation energy: -0.1482 eV per atom
symmetry: No. 44
M_tot: 0.00 μB per cell
E: -27.516 eV/f.u.

Record 7
La4CdAg3: optimized geometry, GGA-PBE.

a = 3.913 Å, b = 4.977 Å, c = 12.005 Å
α = 90.00°, β = 90.00°, γ = 90.00°
Fractional coordinates of all 8 atoms:
La  0.000  0.000  0.000
La  0.000  0.500  0.283
La  0.500  0.000  0.487
La  0.500  0.500  0.792
Cd  0.000  0.000  0.713
Ag  0.000  0.500  0.564
Ag  0.500  0.000  0.214
Ag  0.500  0.500  0.068

Results
calculated formation energy: -0.2484 eV per atom
symmetry: No. 25
M_tot: 0.00 μB per cell
E: -31.166 eV/f.u.

Record 8
La4CdAg: optimized geometry, GGA-PBE.

a = 6.487 Å, b = 6.487 Å, c = 6.487 Å
α = 60.00°, β = 60.00°, γ = 60.00°
Fractional coordinates of all 6 atoms:
La  0.376  0.376  0.376
La  0.376  0.376  0.873
La  0.376  0.873  0.376
La  0.873  0.376  0.376
Cd  0.750  0.750  0.750
Ag  0.000  0.000  0.000

Results
calculated formation energy: 0.2964 eV per atom
symmetry: No. 216
M_tot: 0.00 μB per cell
E: -21.698 eV/f.u.